[1]
Crystalline LaAsOs at its relaxed geometry, computed with PBE-GGA.

Results
**Formation enthalpy at 0 K**: -0.526 eV/atom
**Crystal system**: monoclinic
**Total magnetization**: 0.0 μB/f.u.
**Volume**: 77.6 Å³/f.u.
**D(E_F)**: 2.3 states/eV/cell
**VASP energy**: -7.4619 eV per atom
**Theoretical density**: 8.65 g/cm³

abc: 4.5631 4.1749 8.4515
angles: 90.00 105.44 90.00
Space group Pm (No. 6)
One atom of each set of equivalent atoms:
La 0.0000 0.0000 0.0000
La 0.2614 0.0000 0.5270
As 0.5382 0.5000 0.0782
As 0.8549 0.5000 0.7131
Os 0.6332 0.0000 0.2685
Os 0.7072 0.5000 0.4187

[2]
Crystalline LaAsOs at its relaxed geometry, computed with PBE-GGA.

Results
**Formation enthalpy at 0 K**: -0.491 eV/atom
**Crystal system**: hexagonal
**Total magnetization**: 0.0 μB/f.u.
**Volume**: 67.7 Å³/f.u.
**D(E_F)**: 3.9 states/eV/cell
**VASP energy**: -7.4267 eV per atom
**Theoretical density**: 9.91 g/cm³

abc: 4.2583 4.2583 4.3105
angles: 90.00 90.00 120.00
Space group P-6m2 (No. 187)
One atom of each set of equivalent atoms:
La 0.0000 0.0000 0.0000
As 0.6667 0.3333 0.5000
Os 0.3333 0.6667 0.5000

- What is the formula in the second record?
  LaAsOs

- What is the volume in the first record?
  77.6 Å³/f.u.

- VASP energy of number 2 (LaAsOs)?
  -7.4267 eV per atom

- The highest theoretical density belongs to which entry?
  number 2